The following is a DFT calculation (meta-GGA SCAN) of a PBEsol-optimized structure of BeSi2Br.

## Properties
Formation energy without anion corrections, eV per atom: 0.63
Total DFT energy (no corrections), eV per formula unit: -41.33
Symmetry: I4/mmm, No. 139

a b c (Å): 4.4379 4.4379 4.4379
angles (deg): 109.21 109.21 109.99
With the nearest neighbours (Å) after each atom.
Atoms (fractional coordinates):
Be (0.0000, 0.0000, 0.0000)  2 Br 2.55, 4 Si 2.57
Si (0.0000, 0.5000, 0.5000)  2 Si 2.55, 2 Br 2.57, 2 Be 2.57
Si (0.5000, 0.0000, 0.5000)  2 Si 2.55, 2 Br 2.57, 2 Be 2.57
Br (0.5000, 0.5000, 0.0000)  2 Be 2.55, 4 Si 2.57